(1)
# PBE-GGA TiCd3Ga, optimized geometry
data_TiCd3Ga
_chemical_formula_sum 'Ti1 Cd3 Ga1'
_cell_length_a 5.0605
_cell_length_b 5.0605
_cell_length_c 5.0605
_cell_angle_alpha 90.00
_cell_angle_beta 90.00
_cell_angle_gamma 90.00
_space_group_name_H-M_alt 'P m -3 m'
_space_group_IT_number 221
_space_group_name_Hall '-P 4 2 3'
loop_
_atom_site_label
_atom_site_type_symbol
_atom_site_fract_x
_atom_site_fract_y
_atom_site_fract_z
_atom_site_occupancy
Ti1 Ti 0.0000 0.0000 0.0000 1
Cd1 Cd 0.0000 0.5000 0.5000 1
Ga1 Ga 0.5000 0.5000 0.5000 1
# Energy relative to the elements = 0.69 eV per atom

=====

(2)
# PBE-GGA LiAu4I2, optimized geometry
data_LiAu4I2
_chemical_formula_sum 'Li2 Au8 I4'
_cell_length_a 4.5516
_cell_length_b 4.5516
_cell_length_c 16.1426
_cell_angle_alpha 90.00
_cell_angle_beta 90.00
_cell_angle_gamma 90.00
_space_group_name_H-M_alt 'I 4/m m m'
_space_group_IT_number 139
_space_group_name_Hall '-I 4 2'
loop_
_atom_site_label
_atom_site_type_symbol
_atom_site_fract_x
_atom_site_fract_y
_atom_site_fract_z
_atom_site_occupancy
Li1 Li 0.0000 0.0000 0.0000 1
Au1 Au 0.0000 0.0000 0.1504 1
Au2 Au 0.0000 0.5000 0.0000 1
I1 I 0.0000 0.0000 0.3262 1
# Raw formation energy = 8.111 kcal/mol of atoms

=====

(3)
# PBE-GGA Ba2Sr9Ca3, optimized geometry
data_Ba2Sr9Ca3
_chemical_formula_sum 'Ba4 Sr18 Ca6'
_cell_length_a 6.7458
_cell_length_b 8.1466
_cell_length_c 33.5816
_cell_angle_alpha 90.00
_cell_angle_beta 90.00
_cell_angle_gamma 90.00
_space_group_name_H-M_alt 'I m m m'
_space_group_IT_number 71
_space_group_name_Hall '-I 2 2'
loop_
_atom_site_label
_atom_site_type_symbol
_atom_site_fract_x
_atom_site_fract_y
_atom_site_fract_z
_atom_site_occupancy
Ba1 Ba 0.0000 0.2435 0.0000 1
Sr1 Sr 0.0000 0.0000 0.5000 1
Sr2 Sr 0.0000 0.2464 0.3138 1
Sr3 Sr 0.0000 0.2516 0.1131 1
Ca1 Ca 0.0000 0.5000 0.2139 1
Ca2 Ca 0.0000 0.5000 0.5000 1
# Energy relative to the elements = 0.45 eV per atom

=====

(4)
# PBE-GGA Ta2CuAg, optimized geometry
data_Ta2CuAg
_chemical_formula_sum 'Ta4 Cu2 Ag2'
_cell_length_a 3.9944
_cell_length_b 4.0056
_cell_length_c 8.2120
_cell_angle_alpha 90.00
_cell_angle_beta 90.00
_cell_angle_gamma 90.00
_space_group_name_H-M_alt 'C m m m'
_space_group_IT_number 65
_space_group_name_Hall '-C 2 2'
loop_
_atom_site_label
_atom_site_type_symbol
_atom_site_fract_x
_atom_site_fract_y
_atom_site_fract_z
_atom_site_occupancy
Ta1 Ta 0.0000 0.0000 0.2303 1
Cu1 Cu 0.0000 0.5000 0.0000 1
Ag1 Ag 0.0000 0.5000 0.5000 1
# Energy relative to the elements = 0.25 eV per atom

=====

(5)
# PBE-GGA YSc2Pt, optimized geometry
data_YSc2Pt
_chemical_formula_sum 'Y2 Sc4 Pt2'
_cell_length_a 5.9977
_cell_length_b 10.2496
_cell_length_c 3.1972
_cell_angle_alpha 90.00
_cell_angle_beta 116.30
_cell_angle_gamma 90.00
_space_group_name_H-M_alt 'C 1 2/m 1'
_space_group_IT_number 12
loop_
_space_group_symop_operation_xyz
'x,y,z'
'-x,-y,-z'
'-x,y,-z'
'x,-y,z'
'x+1/2,y+1/2,z'
'-x+1/2,-y+1/2,-z'
'-x+1/2,y+1/2,-z'
'x+1/2,-y+1/2,z'
loop_
_atom_site_label
_atom_site_type_symbol
_atom_site_fract_x
_atom_site_fract_y
_atom_site_fract_z
_atom_site_occupancy
Y1 Y 0.0000 0.0000 0.0000 1
Sc1 Sc 0.2500 0.2500 0.5000 1
Pt1 Pt 0.0000 0.5000 0.0000 1
# Energy relative to the elements = -0.29 eV per atom

=====

(6)
# PBE-GGA MnHg3S, optimized geometry
data_MnHg3S
_chemical_formula_sum 'Mn1 Hg3 S1'
_cell_length_a 5.2848
_cell_length_b 5.2848
_cell_length_c 5.2848
_cell_angle_alpha 90.00
_cell_angle_beta 90.00
_cell_angle_gamma 90.00
_space_group_name_H-M_alt 'P m -3 m'
_space_group_IT_number 221
_space_group_name_Hall '-P 4 2 3'
loop_
_atom_site_label
_atom_site_type_symbol
_atom_site_fract_x
_atom_site_fract_y
_atom_site_fract_z
_atom_site_occupancy
Mn1 Mn 0.0000 0.0000 0.0000 1
Hg1 Hg 0.0000 0.5000 0.5000 1
S1 S 0.5000 0.5000 0.5000 1
# Raw formation energy = 17.105 kcal/mol of atoms

=====

(7)
# PBE-GGA K3Ce3PbS8, optimized geometry
data_K3Ce3PbS8
_chemical_formula_sum 'K9 Ce9 Pb3 S24'
_cell_length_a 8.3600
_cell_length_b 8.3600
_cell_length_c 21.9887
_cell_angle_alpha 90.00
_cell_angle_beta 90.00
_cell_angle_gamma 120.00
_space_group_name_H-M_alt 'R -3 m'
_space_group_IT_number 166
_space_group_name_Hall '-R 3 2"'
loop_
_atom_site_label
_atom_site_type_symbol
_atom_site_fract_x
_atom_site_fract_y
_atom_site_fract_z
_atom_site_occupancy
K1 K 0.0000 0.5000 0.0000 1
Ce1 Ce 0.0000 0.5000 0.5000 1
Pb1 Pb 0.0000 0.0000 0.5000 1
S1 S 0.0000 0.0000 0.2348 1
S2 S 0.0199 0.5100 0.7669 1
# Raw formation energy = -35.969 kcal/mol of atoms

=====

(8)
# PBE-GGA Ca6Zn2Bi, optimized geometry
data_Ca6Zn2Bi
_chemical_formula_sum 'Ca24 Zn8 Bi4'
_cell_length_a 10.2219
_cell_length_b 10.3423
_cell_length_c 10.7605
_cell_angle_alpha 90.00
_cell_angle_beta 90.00
_cell_angle_gamma 90.00
_space_group_name_H-M_alt 'I m m m'
_space_group_IT_number 71
_space_group_name_Hall '-I 2 2'
loop_
_atom_site_label
_atom_site_type_symbol
_atom_site_fract_x
_atom_site_fract_y
_atom_site_fract_z
_atom_site_occupancy
Ca1 Ca 0.0000 0.2118 0.2426 1
Ca2 Ca 0.2088 0.5000 0.1775 1
Ca3 Ca 0.2263 0.3157 0.5000 1
Zn1 Zn 0.0000 0.3699 0.0000 1
Zn2 Zn 0.0000 0.5000 0.3834 1
Bi1 Bi 0.0000 0.0000 0.0000 1
Bi2 Bi 0.0000 0.0000 0.5000 1
# Energy relative to the elements = -0.35 eV per atom

=====

(9)
# PBE-GGA NdSm3Mg8, optimized geometry
data_NdSm3Mg8
_chemical_formula_sum 'Nd3 Sm9 Mg24'
_cell_length_a 6.1177
_cell_length_b 6.1177
_cell_length_c 29.8110
_cell_angle_alpha 90.00
_cell_angle_beta 90.00
_cell_angle_gamma 120.00
_space_group_name_H-M_alt 'R 3 m'
_space_group_IT_number 160
_space_group_name_Hall 'R 3 -2"'
loop_
_atom_site_label
_atom_site_type_symbol
_atom_site_fract_x
_atom_site_fract_y
_atom_site_fract_z
_atom_site_occupancy
Nd1 Nd 0.0000 0.0000 0.0000 1
Sm1 Sm 0.0000 0.0000 0.1250 1
Sm2 Sm 0.0000 0.0000 0.5000 1
Sm3 Sm 0.0000 0.0000 0.6246 1
Mg1 Mg 0.0000 0.0000 0.3123 1
Mg2 Mg 0.0000 0.0000 0.8123 1
Mg3 Mg 0.0003 0.5001 0.0627 1
Mg4 Mg 0.9996 0.4998 0.5622 1
# Energy relative to the elements = -0.10 eV per atom

=====

(10)
# PBE-GGA Hf2V2Ir, optimized geometry
data_Hf2V2Ir
_chemical_formula_sum 'Hf4 V4 Ir2'
_cell_length_a 6.3831
_cell_length_b 6.3831
_cell_length_c 4.2961
_cell_angle_alpha 90.00
_cell_angle_beta 90.00
_cell_angle_gamma 90.00
_space_group_name_H-M_alt 'P 4/m b m'
_space_group_IT_number 127
_space_group_name_Hall '-P 4 2ab'
loop_
_atom_site_label
_atom_site_type_symbol
_atom_site_fract_x
_atom_site_fract_y
_atom_site_fract_z
_atom_site_occupancy
Hf1 Hf 0.1717 0.3283 0.0000 1
V1 V 0.1369 0.6369 0.5000 1
Ir1 Ir 0.0000 0.0000 0.5000 1
# Energy relative to the elements = -0.18 eV per atom

=====

(11)
# PBE-GGA La5Sb, optimized geometry
data_La5Sb
_chemical_formula_sum 'La10 Sb2'
_cell_length_a 4.9769
_cell_length_b 16.0792
_cell_length_c 5.0121
_cell_angle_alpha 90.00
_cell_angle_beta 90.00
_cell_angle_gamma 90.00
_space_group_name_H-M_alt 'C m m m'
_space_group_IT_number 65
_space_group_name_Hall '-C 2 2'
loop_
_atom_site_label
_atom_site_type_symbol
_atom_site_fract_x
_atom_site_fract_y
_atom_site_fract_z
_atom_site_occupancy
La1 La 0.0000 0.0000 0.0000 1
La2 La 0.0000 0.1573 0.5000 1
La3 La 0.0000 0.3440 0.0000 1
Sb1 Sb 0.0000 0.5000 0.5000 1
# Raw formation energy = -8.509 kcal/mol of atoms

=====

(12)
# PBE-GGA TiPtS3, optimized geometry
data_TiPtS3
_chemical_formula_sum 'Ti1 Pt1 S3'
_cell_length_a 4.6273
_cell_length_b 4.6273
_cell_length_c 4.6273
_cell_angle_alpha 90.00
_cell_angle_beta 90.00
_cell_angle_gamma 90.00
_space_group_name_H-M_alt 'P m -3 m'
_space_group_IT_number 221
_space_group_name_Hall '-P 4 2 3'
loop_
_atom_site_label
_atom_site_type_symbol
_atom_site_fract_x
_atom_site_fract_y
_atom_site_fract_z
_atom_site_occupancy
Ti1 Ti 0.0000 0.0000 0.0000 1
Pt1 Pt 0.5000 0.5000 0.5000 1
S1 S 0.0000 0.0000 0.5000 1
# Raw formation energy = 4.494 kcal/mol of atoms

=====

(13)
# PBE-GGA Pm8InGe2, optimized geometry
data_Pm8InGe2
_chemical_formula_sum 'Pm16 In2 Ge4'
_cell_length_a 8.8473
_cell_length_b 13.9246
_cell_length_c 5.7013
_cell_angle_alpha 90.00
_cell_angle_beta 107.39
_cell_angle_gamma 90.00
_space_group_name_H-M_alt 'C 1 2/m 1'
_space_group_IT_number 12
loop_
_space_group_symop_operation_xyz
'x,y,z'
'-x,-y,-z'
'-x,y,-z'
'x,-y,z'
'x+1/2,y+1/2,z'
'-x+1/2,-y+1/2,-z'
'-x+1/2,y+1/2,-z'
'x+1/2,-y+1/2,z'
loop_
_atom_site_label
_atom_site_type_symbol
_atom_site_fract_x
_atom_site_fract_y
_atom_site_fract_z
_atom_site_occupancy
Pm1 Pm 0.0000 0.2425 0.0000 1
Pm2 Pm 0.0953 0.5000 0.7985 1
Pm3 Pm 0.1965 0.1209 0.5776 1
In1 In 0.0000 0.0000 0.0000 1
Ge1 Ge 0.0000 0.3077 0.5000 1
# Energy relative to the elements = -0.34 eV per atom

=====

(14)
# PBE-GGA RbSbPO6, optimized geometry
data_RbSbPO6
_chemical_formula_sum 'Rb1 Sb1 P1 O6'
_cell_length_a 5.0086
_cell_length_b 5.0086
_cell_length_c 6.4392
_cell_angle_alpha 90.00
_cell_angle_beta 90.00
_cell_angle_gamma 120.00
_space_group_name_H-M_alt 'P 3 1 2'
_space_group_IT_number 149
loop_
_space_group_symop_operation_xyz
'x,y,z'
'-y,x-y,z'
'-x+y,-x,z'
'-y,-x,-z'
'-x+y,y,-z'
'x,x-y,-z'
loop_
_atom_site_label
_atom_site_type_symbol
_atom_site_fract_x
_atom_site_fract_y
_atom_site_fract_z
_atom_site_occupancy
Rb1 Rb 0.0000 0.0000 0.0000 1
Sb1 Sb 0.3333 0.6667 0.5000 1
P1 P 0.6667 0.3333 0.5000 1
O1 O 0.4012 0.0435 0.6585 1
# Raw formation energy = -34.918 kcal/mol of atoms

=====

(15)
# PBE-GGA Hf2GeTe4, optimized geometry
data_Hf2GeTe4
_chemical_formula_sum 'Hf4 Ge2 Te8'
_cell_length_a 5.5385
_cell_length_b 5.5385
_cell_length_c 14.1093
_cell_angle_alpha 90.00
_cell_angle_beta 90.00
_cell_angle_gamma 90.00
_space_group_name_H-M_alt 'I 4/m m m'
_space_group_IT_number 139
_space_group_name_Hall '-I 4 2'
loop_
_atom_site_label
_atom_site_type_symbol
_atom_site_fract_x
_atom_site_fract_y
_atom_site_fract_z
_atom_site_occupancy
Hf1 Hf 0.0000 0.0000 0.1055 1
Ge1 Ge 0.0000 0.0000 0.5000 1
Te1 Te 0.0000 0.0000 0.2955 1
Te2 Te 0.0000 0.5000 0.0000 1
# Raw formation energy = 3.893 kcal/mol of atoms

=====

(16)
# PBE-GGA Sc5C, optimized geometry
data_Sc5C
_chemical_formula_sum 'Sc5 C1'
_cell_length_a 6.6610
_cell_length_b 6.6610
_cell_length_c 3.3982
_cell_angle_alpha 90.00
_cell_angle_beta 90.00
_cell_angle_gamma 120.00
_space_group_name_H-M_alt 'P -6 2 m'
_space_group_IT_number 189
_space_group_name_Hall 'P -6 -2'
loop_
_atom_site_label
_atom_site_type_symbol
_atom_site_fract_x
_atom_site_fract_y
_atom_site_fract_z
_atom_site_occupancy
Sc1 Sc 0.0000 0.7530 0.0000 1
Sc2 Sc 0.3333 0.6667 0.5000 1
C1 C 0.0000 0.0000 0.5000 1
# Energy relative to the elements = 0.28 eV per atom

=====

(17)
# PBE-GGA TaAsPb2, optimized geometry
data_TaAsPb2
_chemical_formula_sum 'Ta2 As2 Pb4'
_cell_length_a 4.3643
_cell_length_b 4.3643
_cell_length_c 9.8081
_cell_angle_alpha 90.00
_cell_angle_beta 90.00
_cell_angle_gamma 90.00
_space_group_name_H-M_alt 'I -4 m 2'
_space_group_IT_number 119
_space_group_name_Hall 'I -4 -2'
loop_
_atom_site_label
_atom_site_type_symbol
_atom_site_fract_x
_atom_site_fract_y
_atom_site_fract_z
_atom_site_occupancy
Ta1 Ta 0.0000 0.0000 0.0000 1
As1 As 0.0000 0.5000 0.7500 1
Pb1 Pb 0.0000 0.0000 0.5000 1
Pb2 Pb 0.0000 0.5000 0.2500 1
# Energy relative to the elements = 0.64 eV per atom

=====

(18)
# PBE-GGA CeMg5Ag2, optimized geometry
data_CeMg5Ag2
_chemical_formula_sum 'Ce2 Mg10 Ag4'
_cell_length_a 4.3461
_cell_length_b 8.2924
_cell_length_c 10.4226
_cell_angle_alpha 90.00
_cell_angle_beta 90.00
_cell_angle_gamma 90.00
_space_group_name_H-M_alt 'I m m m'
_space_group_IT_number 71
_space_group_name_Hall '-I 2 2'
loop_
_atom_site_label
_atom_site_type_symbol
_atom_site_fract_x
_atom_site_fract_y
_atom_site_fract_z
_atom_site_occupancy
Ce1 Ce 0.0000 0.0000 0.0000 1
Mg1 Mg 0.0000 0.1880 0.3475 1
Mg2 Mg 0.0000 0.5000 0.0000 1
Ag1 Ag 0.0000 0.5000 0.2637 1
# Energy relative to the elements = -0.11 eV per atom

=====

(19)
# PBE-GGA SeBr, optimized geometry
data_SeBr
_chemical_formula_sum 'Se6 Br6'
_cell_length_a 16.8910
_cell_length_b 3.8450
_cell_length_c 6.6324
_cell_angle_alpha 90.00
_cell_angle_beta 106.91
_cell_angle_gamma 90.00
_space_group_name_H-M_alt 'C 1 m 1'
_space_group_IT_number 8
loop_
_space_group_symop_operation_xyz
'x,y,z'
'x,-y,z'
'x+1/2,y+1/2,z'
'x+1/2,-y+1/2,z'
loop_
_atom_site_label
_atom_site_type_symbol
_atom_site_fract_x
_atom_site_fract_y
_atom_site_fract_z
_atom_site_occupancy
Se1 Se 0.0000 0.0000 0.0000 1
Se2 Se 0.0948 0.5000 0.2187 1
Se3 Se 0.2247 0.0000 0.4020 1
Br1 Br 0.0625 0.5000 0.5454 1
Br2 Br 0.2796 0.0000 0.1206 1
Br3 Br 0.3583 0.5000 0.7197 1
# Raw formation energy = 2.749 kcal/mol of atoms

=====

(20)
# PBE-GGA PtPbW2, optimized geometry
data_PtPbW2
_chemical_formula_sum 'Pt2 Pb2 W4'
_cell_length_a 9.8115
_cell_length_b 2.8649
_cell_length_c 5.1554
_cell_angle_alpha 90.00
_cell_angle_beta 97.09
_cell_angle_gamma 90.00
_space_group_name_H-M_alt 'C 1 m 1'
_space_group_IT_number 8
loop_
_space_group_symop_operation_xyz
'x,y,z'
'x,-y,z'
'x+1/2,y+1/2,z'
'x+1/2,-y+1/2,z'
loop_
_atom_site_label
_atom_site_type_symbol
_atom_site_fract_x
_atom_site_fract_y
_atom_site_fract_z
_atom_site_occupancy
Pt1 Pt 0.0000 0.0000 0.0000 1
Pb1 Pb 0.2442 0.0000 0.7720 1
W1 W 0.2236 0.5000 0.2714 1
W2 W 0.4802 0.0000 0.4668 1
# Energy relative to the elements = 0.59 eV per atom